No. 1
Compound: NdGa12Ni4
Source: Alexandria via LeMat-Bulk
Functional: PBE-GGA
Structure: optimized geometry

The structure in POSCAR format:
```
NdGa12Ni4
1.0
-4.2896 4.2896 4.2896
4.2896 -4.2896 4.2896
4.2896 4.2896 -4.2896
Nd Ga Ni
1 12 4
Cartesian
0.0000 0.0000 0.0000
4.2896 -1.3832 2.7862
2.9064 1.5034 0.0000
5.6729 1.5034 0.0000
2.7862 4.2896 -1.3832
1.5034 0.0000 2.9064
4.2896 1.3832 2.7862
0.0000 2.9064 1.5034
2.7862 4.2896 1.3832
1.5034 0.0000 5.6729
-1.3832 2.7862 4.2896
1.3832 2.7862 4.2896
0.0000 5.6729 1.5034
2.1448 2.1448 -2.1448
2.1448 -2.1448 2.1448
-2.1448 2.1448 2.1448
2.1448 2.1448 2.1448
```

Summary:
**DFT formation energy**: -163.1 meV per atom
**Symmetry**: Im-3 (204)
**Total moment**: 0.0 μB/cell



No. 2
Compound: Nd7Ga2Ni2
Source: Alexandria via LeMat-Bulk
Functional: PBE-GGA
Structure: optimized geometry

The structure in POSCAR format:
```
Nd7Ga2Ni2
1.0
3.9579 -5.6460 0.0000
3.9579 5.6460 0.0000
0.0000 0.0000 7.0160
Nd Ga Ni
7 2 2
Cartesian
0.0000 0.0000 0.0000
1.9790 2.8230 1.8037
1.9790 2.8230 5.2123
1.9790 -2.8230 1.8037
1.9790 -2.8230 5.2123
3.9579 0.0000 1.7649
3.9579 0.0000 5.2510
1.2726 0.0000 3.5080
6.6433 0.0000 3.5080
3.9579 2.2920 0.0000
3.9579 -2.2920 0.0000
```

Summary:
**DFT formation energy**: -200.5 meV per atom
**Symmetry**: Cmmm (65)
**Total moment**: 0.0 μB/cell



No. 3
Compound: Nd3Ga3Ni
Source: Alexandria via LeMat-Bulk
Functional: PBE-GGA
Structure: optimized geometry

The structure in POSCAR format:
```
Nd3Ga3Ni
1.0
5.5637 -2.1825 0.0000
5.5637 2.1825 0.0000
-4.8911 0.0000 13.6022
Nd Ga Ni
6 6 2
Cartesian
-1.5846 0.0000 5.2545
-3.3092 0.0000 12.5030
1.5459 0.0000 3.2027
4.6904 0.0000 10.3996
9.5454 0.0000 1.0992
7.8208 0.0000 8.3477
1.5328 0.0000 6.2511
-0.1294 0.0000 12.5761
1.3637 0.0000 10.3452
4.8725 0.0000 3.2570
6.3657 0.0000 1.0261
4.7034 0.0000 7.3511
-0.1062 0.0000 8.2075
6.3425 0.0000 5.3947
```

Summary:
**DFT formation energy**: -552.9 meV per atom
**Symmetry**: C2/m (12)
**Total moment**: 0.0 μB/cell



No. 4
Compound: NdGa2Ni3
Source: Alexandria via LeMat-Bulk
Functional: PBE-GGA
Structure: optimized geometry

The structure in POSCAR format:
```
NdGa2Ni3
1.0
8.9073 0.0000 0.0000
-4.4536 7.7139 0.0000
0.0000 0.0000 4.1323
Nd Ga Ni
3 6 9
Cartesian
0.0000 0.0000 0.0000
0.0000 5.1426 2.0661
4.4536 2.5713 2.0661
-2.1074 3.6501 0.0000
-3.2367 5.6061 2.0661
1.2169 2.1078 2.0661
4.2148 0.0000 0.0000
2.3462 4.0638 0.0000
6.4734 0.0000 2.0661
-1.2809 2.2186 2.0661
-2.0321 6.1297 0.0000
0.1612 2.8892 0.0000
2.5618 0.0000 2.0661
2.4215 1.5842 0.0000
1.8710 6.4089 0.0000
3.1727 5.4953 2.0661
6.3246 1.3050 0.0000
4.6148 4.8248 0.0000
```

Summary:
**DFT formation energy**: -521.4 meV per atom
**Symmetry**: P-62m (189)
**Total moment**: 0.0 μB/cell



No. 5
Compound: Nd8Ga2Ni
Source: Alexandria via LeMat-Bulk
Functional: PBE-GGA
Structure: optimized geometry

The structure in POSCAR format:
```
Nd8Ga2Ni
1.0
-2.4714 4.4406 7.1827
2.4714 -4.4406 7.1827
2.4714 4.4406 -7.1827
Nd Ga Ni
8 2 1
Cartesian
2.4714 2.4869 -2.2901
0.0000 0.0000 1.8035
0.0000 2.9375 0.0000
2.4714 2.4869 2.2901
0.0000 1.9538 4.8926
0.0000 5.9438 0.0000
0.0000 0.0000 12.5619
0.0000 1.9538 9.4729
2.4714 0.0000 4.3229
0.0000 4.4406 2.8598
2.4714 0.0000 0.0000
```

Summary:
**DFT formation energy**: -129.0 meV per atom
**Symmetry**: Immm (71)
**Total moment**: 0.0 μB/cell
**Energy relative to the lowest polymorph listed for this composition**: 109 meV/atom



No. 6
Compound: NdGa6Ni3
Source: Alexandria via LeMat-Bulk
Functional: PBE-GGA
Structure: optimized geometry

The structure in POSCAR format:
```
NdGa6Ni3
1.0
9.0095 0.0000 0.0000
0.0000 4.0345 0.0000
-1.4856 0.0000 9.1859
Nd Ga Ni
2 12 6
Cartesian
1.8927 1.0086 0.7901
5.6312 3.0259 8.3958
-0.4745 3.0259 7.6119
0.1549 1.0086 4.1727
1.1490 1.0086 6.6304
2.2348 3.0259 3.2528
3.0322 3.0259 6.0181
4.2179 3.0259 1.0450
3.3060 1.0086 8.1409
4.4916 1.0086 3.1678
5.2890 1.0086 5.9331
6.3748 3.0259 2.5555
7.3689 3.0259 5.0132
7.9984 1.0086 1.5740
-0.1759 3.0259 2.7223
1.8748 3.0259 8.0234
2.6404 1.0086 4.5943
4.8835 3.0259 4.5917
5.6490 1.0086 1.1626
7.6997 1.0086 6.4636
```

Summary:
**DFT formation energy**: -435.4 meV per atom
**Symmetry**: P2_1/m (11)
**Total moment**: 0.0 μB/cell



No. 7
Compound: NdGa5Ni3
Source: Alexandria via LeMat-Bulk
Functional: PBE-GGA
Structure: optimized geometry

The structure in POSCAR format:
```
NdGa5Ni3
1.0
1.9765 -6.1715 0.0000
1.9765 6.1715 0.0000
0.0000 0.0000 12.2952
Nd Ga Ni
2 10 6
Cartesian
1.9765 4.0370 9.2214
1.9765 -4.0370 3.0738
0.0000 0.0000 0.0000
0.0000 0.0000 6.1476
1.9765 3.6346 0.8370
1.9765 3.6346 5.3106
1.9765 0.6035 8.0170
1.9765 0.6035 10.4258
1.9765 -0.6035 1.8694
1.9765 -0.6035 4.2782
1.9765 -3.6346 6.9846
1.9765 -3.6346 11.4583
1.9765 4.6300 3.0738
1.9765 1.3279 0.4260
1.9765 1.3279 5.7216
1.9765 -1.3279 6.5736
1.9765 -1.3279 11.8692
1.9765 -4.6300 9.2214
```

Summary:
**DFT formation energy**: -414.2 meV per atom
**Symmetry**: Cmcm (63)
**Total moment**: 0.0 μB/cell



No. 8
Compound: NdGa3Ni3
Source: Alexandria via LeMat-Bulk
Functional: PBE-GGA
Structure: optimized geometry

The structure in POSCAR format:
```
NdGa3Ni3
1.0
6.4519 0.0000 0.0000
0.0000 6.4519 0.0000
0.0000 0.0000 6.4519
Nd Ga Ni
2 6 6
Cartesian
0.0000 0.0000 0.0000
3.2260 3.2260 3.2260
0.0000 1.6130 3.2260
0.0000 4.8389 3.2260
1.6130 3.2260 0.0000
3.2260 0.0000 1.6130
3.2260 0.0000 4.8389
4.8389 3.2260 0.0000
0.0000 3.2260 1.6130
0.0000 3.2260 4.8389
1.6130 0.0000 3.2260
3.2260 1.6130 0.0000
3.2260 4.8389 0.0000
4.8389 0.0000 3.2260
```

Summary:
**DFT formation energy**: -117.2 meV per atom
**Symmetry**: Pm-3n (223)
**Total moment**: 0.0 μB/cell
**Energy relative to the lowest polymorph listed for this composition**: 181 meV/atom